1.
Material: LiZnSbO4
Method: DFT, PBE
State: relaxed

a b c (Å): 6.0911 6.2145 6.2032
angles (deg): 119.94 90.00 119.35
With the nearest neighbours (Å) after each atom.
Fractional coordinates of all 14 atoms:
O  0.2780  0.5559  0.2956  1 Sb 1.98, 1 Li 2.02, 2 Zn 2.11
O  0.7220  0.4441  0.7044  1 Sb 1.98, 1 Li 2.02, 2 Zn 2.11
O  0.7220  0.4441  0.2397  1 Sb 1.98, 1 Li 2.02, 2 Zn 2.11
O  0.7234  0.9968  0.2484  2 Sb 2.07, 1 Li 2.12, 1 Zn 2.24
O  0.7266  0.0032  0.7516  2 Sb 2.07, 1 Li 2.12, 1 Zn 2.24
O  0.2766  0.0032  0.7516  2 Sb 2.07, 1 Li 2.12, 1 Zn 2.24
O  0.2734  0.9968  0.2484  2 Sb 2.07, 1 Li 2.12, 1 Zn 2.24
O  0.2780  0.5559  0.7603  1 Sb 1.98, 1 Li 2.02, 2 Zn 2.11
Sb  0.5000  0.0000  0.5000  6 O 1.98-2.07
Sb  0.5000  0.0000  0.0000  6 O 1.98-2.07
Zn  0.5000  0.5000  0.5000  6 O 2.11-2.24
Zn  0.0000  0.5000  0.5000  6 O 2.11-2.24
Li  0.8522  0.7043  0.1022  4 O 2.02-2.12
Li  0.1478  0.2957  0.8978  4 O 2.02-2.12

Summary:
Formation energy (no corrections)   -1.597 eV/atom
E   -76.64 eV per cell
Density of states at the Fermi level   0.000 states/eV/f.u.

2.
Material: Ce2HoZn2Si2
Method: DFT, PBE
State: relaxed

a b c (Å): 4.2197 4.2197 9.4299
angles (deg): 77.07 77.07 60.00
With the nearest neighbours (Å) after each atom.
Fractional coordinates of all 7 atoms:
Ho  0.0000  0.0000  0.0000  6 Zn 3.06, 6 Si 3.08
Ce  0.8596  0.8596  0.4213  3 Ce 2.83, 3 Si 3.12, 3 Zn 3.14
Ce  0.1404  0.1404  0.5787  3 Ce 2.83, 3 Si 3.12, 3 Zn 3.14
Si  0.7356  0.7356  0.7933  3 Zn 2.44
Si  0.2644  0.2644  0.2067  3 Zn 2.44
Zn  0.5986  0.5986  0.2041  3 Si 2.44
Zn  0.4014  0.4014  0.7959  3 Si 2.44

Summary:
Formation energy (no corrections)   -0.406 eV/atom
E   -32.68 eV per cell
Density of states at the Fermi level   10.606 states/eV/f.u.

3.
Material: La4PAuBr2
Method: DFT, PBE
State: relaxed

a b c (Å): 4.2671 7.6703 7.6382
angles (deg): 108.51 90.00 90.00
With the nearest neighbours (Å) after each atom.
Fractional coordinates of all 8 atoms:
La  0.0000  0.2512  0.7749  1 P 2.96, 2 Au 3.01, 3 Br 3.18-3.26
La  0.0000  0.7488  0.2251  1 P 2.96, 2 Au 3.01, 3 Br 3.18-3.26
La  0.5000  0.7735  0.7785  2 P 2.93, 1 Au 3.08, 3 Br 3.14-3.26
La  0.5000  0.2265  0.2215  2 P 2.93, 1 Au 3.08, 3 Br 3.14-3.26
Br  0.5000  0.0000  0.5000  6 La 3.14-3.18
Br  0.0000  0.5000  0.5000  6 La 3.26
P  0.0000  0.0000  0.0000  6 La 2.93-2.96
Au  0.5000  0.5000  0.0000  6 La 3.01-3.08

Summary:
Formation energy (no corrections)   -1.302 eV/atom
E   -42.16 eV per cell
Density of states at the Fermi level   5.346 states/eV/f.u.

Question: Number 2 is which compound?
Answer: Ce2HoZn2Si2

Question: Which value of E does entry 1 give?
Answer: -76.64 eV per cell

Question: What is the formula in the third record?
Answer: La4PAuBr2